Entry from Alexandria via LeMat-Bulk: a relaxed structure of MgCo2CuN (PBE).

Cell and atoms, written as POSCAR:
```
MgCo2CuN
1.0
3.686 0.000 0.000
0.000 3.686 0.000
0.000 0.000 4.183
Mg Co Cu N
1 2 1 1
direct
0.000 0.000 0.000 Mg
0.000 0.500 0.500 Co
0.500 0.000 0.500 Co
0.500 0.500 0.000 Cu
0.000 0.000 0.500 N
```

Output
ΔE_f (raw)	-0.055	eV/atom
E	-0.20948	hartree per atom